Record 1
Ga2Fe2Au | SCAN | PBEsol geometry

The structure in POSCAR format:
```
Ga2Fe2Au
1.0
3.565 0.000 0.000
0.000 3.565 0.000
0.000 0.000 11.388
Ga Fe Au
4 4 2
Direct
0.000 0.500 0.250
0.000 0.500 0.750
0.500 0.000 0.250
0.500 0.000 0.750
0.000 0.000 0.096
0.000 0.000 0.904
0.500 0.500 0.404
0.500 0.500 0.596
0.000 0.000 0.500
0.500 0.500 0.000
```

Electronic total energy: -27.419 eV/atom
ΔH_f (0 K): 203 meV/atom
Calculated density: 10.3 g/cm³
Total moment: 9.46 μB per cell


Record 2
AlFeRh | SCAN | PBEsol geometry

The structure in POSCAR format:
```
AlFeRh
1.0
5.585 0.000 0.000
0.000 5.585 0.000
0.000 0.000 5.585
Al Fe Rh
4 4 4
Direct
0.000 0.000 0.000
0.000 0.500 0.500
0.500 0.000 0.500
0.500 0.500 0.000
0.250 0.250 0.750
0.250 0.750 0.250
0.750 0.250 0.250
0.750 0.750 0.750
0.000 0.000 0.500
0.000 0.500 0.000
0.500 0.000 0.000
0.500 0.500 0.500
```

Electronic total energy: -20.013 eV/atom
ΔH_f (0 K): -129 meV/atom
Calculated density: 7.1 g/cm³
Total moment: 11.05 μB per cell


Record 3
YSiNi4 | SCAN | PBEsol geometry

The structure in POSCAR format:
```
YSiNi4
1.0
4.989 0.000 0.000
0.000 8.077 0.000
0.000 0.000 3.899
Y Si Ni
2 2 8
Direct
0.000 0.000 0.000
0.500 0.500 0.000
0.000 0.500 0.500
0.500 0.000 0.500
0.000 0.341 0.000
0.000 0.659 0.000
0.250 0.250 0.500
0.250 0.750 0.500
0.500 0.159 0.000
0.500 0.841 0.000
0.750 0.250 0.500
0.750 0.750 0.500
```

Energy relative to the elements, uncorrected: -14.17 kcal/mol of atoms
Electronic total energy: -17.706 eV/atom
Calculated density: 7.4 g/cm³
Total moment: 0.00 μB per cell


Record 4
NaLiZrSi6O15 | SCAN | PBEsol geometry

The structure in POSCAR format:
```
NaLiZrSi6O15
1.0
7.196 -8.688 0.000
7.196 8.688 0.000
0.000 0.000 10.226
Na Li Zr Si O
4 4 4 24 60
Direct
0.035 0.465 0.250
0.465 0.035 0.750
0.535 0.965 0.250
0.965 0.535 0.750
0.246 0.246 0.000
0.254 0.254 0.500
0.746 0.746 0.500
0.754 0.754 0.000
0.161 0.339 0.750
0.339 0.161 0.250
0.661 0.839 0.750
0.839 0.661 0.250
0.019 0.764 0.518
0.038 0.184 0.189
0.084 0.698 0.041
0.184 0.038 0.811
0.198 0.584 0.541
0.236 0.981 0.518
0.264 0.519 0.018
0.302 0.916 0.041
0.316 0.462 0.311
0.416 0.802 0.541
0.462 0.316 0.689
0.481 0.736 0.018
0.519 0.264 0.982
0.538 0.684 0.311
0.584 0.198 0.459
0.684 0.538 0.689
0.698 0.084 0.959
0.736 0.481 0.982
0.764 0.019 0.482
0.802 0.416 0.459
0.816 0.962 0.189
0.916 0.302 0.959
0.962 0.816 0.811
0.981 0.236 0.482
0.001 0.282 0.084
0.004 0.653 0.168
0.029 0.252 0.329
0.058 0.942 0.816
0.093 0.656 0.492
0.095 0.251 0.579
0.106 0.894 0.502
0.153 0.504 0.668
0.156 0.593 0.992
0.167 0.173 0.841
0.173 0.167 0.159
0.178 0.822 0.072
0.218 0.499 0.416
0.248 0.471 0.171
0.249 0.405 0.921
0.251 0.095 0.421
0.252 0.029 0.671
0.282 0.001 0.916
0.322 0.678 0.572
0.327 0.333 0.659
0.333 0.327 0.341
0.344 0.907 0.492
0.347 0.996 0.168
0.394 0.606 0.002
0.405 0.249 0.079
0.407 0.844 0.992
0.442 0.558 0.316
0.471 0.248 0.829
0.496 0.847 0.668
0.499 0.218 0.584
0.501 0.782 0.416
0.504 0.153 0.332
0.529 0.752 0.171
0.558 0.442 0.684
0.593 0.156 0.008
0.595 0.751 0.921
0.606 0.394 0.998
0.653 0.004 0.832
0.656 0.093 0.508
0.667 0.673 0.659
0.673 0.667 0.341
0.678 0.322 0.428
0.718 0.999 0.084
0.748 0.971 0.329
0.749 0.905 0.579
0.751 0.595 0.079
0.752 0.529 0.829
0.782 0.501 0.584
0.822 0.178 0.928
0.827 0.833 0.841
0.833 0.827 0.159
0.844 0.407 0.008
0.847 0.496 0.332
0.894 0.106 0.498
0.905 0.749 0.421
0.907 0.344 0.508
0.942 0.058 0.184
0.971 0.748 0.671
0.996 0.347 0.832
0.999 0.718 0.916
```

Energy relative to the elements, uncorrected: -70.87 kcal/mol of atoms
Electronic total energy: -11.026 eV/atom
Calculated density: 2.8 g/cm³
Total moment: 0.00 μB per cell


Record 5
Zn2SbHPb | SCAN | PBEsol geometry

The structure in POSCAR format:
```
Zn2SbHPb
1.0
5.252 0.000 0.000
0.000 5.252 0.000
0.000 0.000 3.766
Zn Sb H Pb
2 1 1 1
Direct
0.000 0.500 0.000
0.500 0.000 0.000
0.000 0.000 0.500
0.500 0.500 0.500
0.500 0.500 0.000
```

Electronic total energy: -28.174 eV/atom
Calculated density: 7.4 g/cm³
Total moment: 0.00 μB per cell


Record 6
NbCr3Cd | SCAN | PBEsol geometry

The structure in POSCAR format:
```
NbCr3Cd
1.0
4.657 0.000 0.000
0.000 4.657 0.000
0.000 0.000 4.657
Nb Cr Cd
1 3 1
Direct
0.000 0.000 0.000
0.000 0.000 0.500
0.000 0.500 0.000
0.500 0.000 0.000
0.500 0.500 0.500
```

Electronic total energy: -22.451 eV/atom
ΔH_f (0 K): 1288 meV/atom
Calculated density: 5.9 g/cm³
Total moment: 9.24 μB per cell